1.
The following is a GGA-PBE calculation of crystalline Ba3NaNbO6 at its relaxed geometry, from the Alexandria database.

Output
Theoretical density ... 5.468 Mg/m³
Energy relative to the elements, uncorrected ... -2.60 eV/atom
Crystal system ... trigonal

a = 7.2405 Å, b = 7.2405 Å, c = 7.2405 Å
α = 91.90°, β = 91.90°, γ = 91.90°
Last column: nearest neighbours and their distance in Å.
Fractional positions:
O 0.2680 0.0774 0.9493  1 Nb 2.05
O 0.9226 0.0507 0.7320  1 Nb 2.05
O 0.5774 0.7680 0.4493  1 Nb 2.05
O 0.0507 0.7320 0.9226  1 Nb 2.05
O 0.4226 0.2320 0.5507  1 Nb 2.05
O 0.4493 0.5774 0.7680  1 Nb 2.05
O 0.5507 0.4226 0.2320  1 Nb 2.05
O 0.9493 0.2680 0.0774  1 Nb 2.05
O 0.7320 0.9226 0.0507  1 Nb 2.05
O 0.7680 0.4493 0.5774  1 Nb 2.05
O 0.0774 0.9493 0.2680  1 Nb 2.05
O 0.2320 0.5507 0.4226  1 Nb 2.05
Na 0.2500 0.2500 0.2500  6 O 2.48
Na 0.7500 0.7500 0.7500  6 O 2.48
Ba 0.1022 0.3978 0.7500  8 O 2.73-3.03
Ba 0.2500 0.8978 0.6022  8 O 2.73-3.03
Ba 0.6022 0.2500 0.8978  8 O 2.73-3.03
Ba 0.3978 0.7500 0.1022  8 O 2.73-3.03
Ba 0.8978 0.6022 0.2500  8 O 2.73-3.03
Ba 0.7500 0.1022 0.3978  8 O 2.73-3.03
Nb 0.0000 0.0000 0.0000  6 O 2.05
Nb 0.5000 0.5000 0.5000  6 O 2.05



2.
The following is a GGA-PBE calculation of crystalline Ba3NaNb2O8 at its relaxed geometry, from the Alexandria database.

Output
Theoretical density ... 4.906 Mg/m³
Energy relative to the elements, uncorrected ... -2.52 eV/atom
Crystal system ... trigonal

a = 6.1076 Å, b = 6.1076 Å, c = 7.8458 Å
α = 90.00°, β = 90.00°, γ = 120.00°
Last column: nearest neighbours and their distance in Å.
Fractional positions:
O 0.1714 0.8286 0.3002  1 Nb 1.90
O 0.6572 0.8286 0.3002  1 Nb 1.90
O 0.1714 0.3428 0.3002  1 Nb 1.90
O 0.3333 0.6667 0.9546  1 Nb 1.88
O 0.6667 0.3333 0.0454  1 Nb 1.88
O 0.8286 0.1714 0.6998  1 Nb 1.90
O 0.8286 0.6572 0.6998  1 Nb 1.90
O 0.3428 0.1714 0.6998  1 Nb 1.90
Ba 0.3333 0.6667 0.6404  1 O 2.46
Ba 0.6667 0.3333 0.3596  1 O 2.46
Ba 0.0000 0.0000 0.0000  6 O 2.97
Nb 0.3333 0.6667 0.1948  4 O 1.88-1.90
Nb 0.6667 0.3333 0.8052  4 O 1.88-1.90
Na 0.0000 0.0000 0.5000  6 O 2.40



3.
The following is a GGA-PBE calculation of crystalline Ba4NaNb3O12 at its relaxed geometry, from the Alexandria database.

Output
Theoretical density ... 5.826 Mg/m³
Energy relative to the elements, uncorrected ... -2.72 eV/atom
Crystal system ... cubic

a = 7.2823 Å, b = 7.2823 Å, c = 7.2823 Å
α = 109.47°, β = 109.47°, γ = 109.47°
Last column: nearest neighbours and their distance in Å.
Fractional positions:
O 0.7288 0.7288 0.0000  1 Nb 1.92
O 0.2712 0.0000 0.2712  1 Nb 1.92
O 0.7500 0.2500 0.5000  2 Nb 2.10
O 0.2500 0.5000 0.7500  2 Nb 2.10
O 0.5000 0.2500 0.7500  2 Nb 2.10
O 0.0000 0.7288 0.7288  1 Nb 1.92
O 0.7500 0.5000 0.2500  2 Nb 2.10
O 0.0000 0.2712 0.2712  1 Nb 1.92
O 0.2712 0.2712 0.0000  1 Nb 1.92
O 0.7288 0.0000 0.7288  1 Nb 1.92
O 0.5000 0.7500 0.2500  2 Nb 2.10
O 0.2500 0.7500 0.5000  2 Nb 2.10
Ba 0.0000 0.0000 0.5000  12 O 2.97-2.98
Ba 0.0000 0.5000 0.0000  12 O 2.97-2.98
Ba 0.5000 0.0000 0.0000  12 O 2.97-2.98
Ba 0.5000 0.5000 0.5000  12 O 2.97-2.98
Na 0.0000 0.0000 0.0000  6 O 2.28
Nb 0.0000 0.5000 0.5000  6 O 1.92-2.10
Nb 0.5000 0.0000 0.5000  6 O 1.92-2.10
Nb 0.5000 0.5000 0.0000  6 O 1.92-2.10



4.
The following is a GGA-PBE calculation of crystalline Ba2Na2NbO6 at its relaxed geometry, from the Alexandria database.

Output
Theoretical density ... 4.462 Mg/m³
Energy relative to the elements, uncorrected ... -2.07 eV/atom
Crystal system ... trigonal

a = 6.4142 Å, b = 6.4142 Å, c = 6.4840 Å
α = 60.36°, β = 60.36°, γ = 60.00°
Last column: nearest neighbours and their distance in Å.
Fractional positions:
Nb 0.0000 0.0000 0.0000  6 O 2.02
O 0.2213 0.2213 0.7621  1 Nb 2.02, 1 Na 2.13
O 0.2048 0.7787 0.2379  1 Nb 2.02, 1 Na 2.13
O 0.7952 0.2213 0.7621  1 Nb 2.02, 1 Na 2.13
O 0.2213 0.7952 0.7621  1 Nb 2.02, 1 Na 2.13
O 0.7787 0.7787 0.2379  1 Nb 2.02, 1 Na 2.13
O 0.7787 0.2048 0.2379  1 Nb 2.02, 1 Na 2.13
Ba 0.7852 0.7852 0.6444  3 O 2.68
Ba 0.2148 0.2148 0.3556  3 O 2.68
Na 0.5795 0.5795 0.2616  3 O 2.13
Na 0.4205 0.4205 0.7384  3 O 2.13



5.
The following is a GGA-PBE calculation of crystalline BaNa2NbO4 at its relaxed geometry, from the Alexandria database.

Output
Theoretical density ... 4.193 Mg/m³
Energy relative to the elements, uncorrected ... -2.15 eV/atom
Crystal system ... tetragonal

a = 5.6446 Å, b = 5.6446 Å, c = 5.6446 Å
α = 115.23°, β = 115.23°, γ = 98.49°
Last column: nearest neighbours and their distance in Å.
Fractional positions:
Na 0.2500 0.7500 0.5000  4 O 2.38
Na 0.7500 0.2500 0.5000  4 O 2.38
O 0.9157 0.3220 0.0000  1 Nb 1.95
O 0.0843 0.0843 0.4064  1 Nb 1.95
O 0.6780 0.6780 0.5936  1 Nb 1.95
O 0.3220 0.9157 0.0000  1 Nb 1.95
Nb 0.0000 0.0000 0.0000  4 O 1.95
Ba 0.5000 0.5000 0.0000  4 O 2.69



6.
The following is a GGA-PBE calculation of crystalline Ba3Na2Ti3Nb2O15 at its relaxed geometry, from the Alexandria database.

Output
Theoretical density ... 5.233 Mg/m³
Energy relative to the elements, uncorrected ... -2.79 eV/atom
Crystal system ... orthorhombic

a = 14.5193 Å, b = 14.5193 Å, c = 4.0280 Å
α = 90.00°, β = 90.00°, γ = 157.42°
Last column: nearest neighbours and their distance in Å.
Fractional positions:
O 0.8991 0.1009 0.0000  2 Ti 2.01
O 0.5000 0.5000 0.0000  2 Ti 2.01
O 0.2002 0.3005 0.5000  2 Ti 2.01-2.03
O 0.9004 0.6003 0.5000  1 Ti 1.99, 1 Nb 2.03
O 0.7998 0.6995 0.5000  2 Ti 2.01-2.03
O 0.3005 0.2002 0.5000  2 Ti 2.01-2.03
O 0.3997 0.0996 0.5000  1 Ti 1.99, 1 Nb 2.03
O 0.0996 0.3997 0.5000  1 Ti 1.99, 1 Nb 2.03
O 0.6998 0.3002 0.0000  2 Nb 2.01
O 0.3002 0.6998 0.0000  2 Nb 2.01
O 0.6995 0.7998 0.5000  2 Ti 2.01-2.03
O 0.0000 0.5000 0.5000  2 Nb 1.99
O 0.5000 0.0000 0.5000  2 Nb 1.99
O 0.6003 0.9004 0.5000  1 Ti 1.99, 1 Nb 2.03
O 0.1009 0.8991 0.0000  2 Ti 2.01
Ti 0.1010 0.8990 0.5000  6 O 1.99-2.03
Ti 0.5000 0.5000 0.5000  6 O 2.01
Ti 0.8990 0.1010 0.5000  6 O 1.99-2.03
Ba 0.4008 0.5992 0.0000  12 O 2.82-2.87
Ba 0.5992 0.4008 0.0000  12 O 2.82-2.87
Ba 0.0000 0.0000 0.0000  12 O 2.84-2.87
Nb 0.7010 0.2990 0.5000  6 O 1.99-2.03
Nb 0.2990 0.7010 0.5000  6 O 1.99-2.03
Na 0.1944 0.8056 0.0000  11 O 2.66-2.93
Na 0.8056 0.1944 0.0000  11 O 2.66-2.93



7.
The following is a GGA-PBE calculation of crystalline BaNaTiNbO6 at its relaxed geometry, from the Alexandria database.

Output
Theoretical density ... 5.079 Mg/m³
Energy relative to the elements, uncorrected ... -2.72 eV/atom
Crystal system ... cubic

a = 5.6836 Å, b = 5.6836 Å, c = 5.6836 Å
α = 60.00°, β = 60.00°, γ = 60.00°
Last column: nearest neighbours and their distance in Å.
Fractional positions:
Na 0.0000 0.0000 0.0000  12 O 2.84
O 0.5020 0.9980 0.9980  1 Ti 1.99, 1 Nb 2.03
O 0.5020 0.9980 0.5020  1 Ti 1.99, 1 Nb 2.03
O 0.5020 0.5020 0.9980  1 Ti 1.99, 1 Nb 2.03
O 0.9980 0.5020 0.9980  1 Ti 1.99, 1 Nb 2.03
O 0.9980 0.9980 0.5020  1 Ti 1.99, 1 Nb 2.03
O 0.9980 0.5020 0.5020  1 Ti 1.99, 1 Nb 2.03
Ba 0.5000 0.5000 0.5000  12 O 2.84
Ti 0.7500 0.7500 0.7500  6 O 1.99
Nb 0.2500 0.2500 0.2500  6 O 2.03



8.
The following is a GGA-PBE calculation of crystalline BaNa2NbPt at its relaxed geometry, from the Alexandria database.

Output
Theoretical density ... 3.996 Mg/m³
ΔE_f ... 6.6 eV per formula unit
Crystal system ... tetragonal

a = 5.5142 Å, b = 6.4415 Å, c = 5.5142 Å
α = 90.00°, β = 90.00°, γ = 90.00°
Last column: nearest neighbours and their distance in Å.
Fractional positions:
Na 0.0000 0.0000 0.5000  2 Nb 2.76
Na 0.5000 0.0000 0.0000  2 Nb 2.76
Pt 0.5000 0.5000 0.5000  4 Ba 3.90, 8 Na 4.24
Nb 0.0000 0.0000 0.0000  4 Na 2.76
Ba 0.0000 0.5000 0.0000  2 Nb 3.22



9.
The following is a GGA-PBE calculation of crystalline BaNa2NbS4 at its relaxed geometry, from the Alexandria database.

Output
Theoretical density ... 3.166 Mg/m³
Energy relative to the elements, uncorrected ... -1.24 eV/atom
Crystal system ... orthorhombic

a = 6.2361 Å, b = 6.2645 Å, c = 10.8616 Å
α = 90.00°, β = 90.00°, γ = 90.00°
Last column: nearest neighbours and their distance in Å.
Fractional positions:
Na 0.4433 0.2441 0.2494  4 S 2.74-3.04
Na 0.9433 0.7559 0.7494  4 S 2.74-3.04
Na 0.9433 0.7559 0.2506  4 S 2.74-3.04
Na 0.4433 0.2441 0.7506  4 S 2.74-3.04
Nb 0.5075 0.8253 0.5000  4 S 2.37
Nb 0.0075 0.1747 0.0000  4 S 2.37
Ba 0.4508 0.7183 0.0000  6 S 3.15-3.25
Ba 0.9508 0.2817 0.5000  6 S 3.15-3.25
S 0.9105 0.2798 0.2021  1 Nb 2.37
S 0.4105 0.7202 0.7021  1 Nb 2.37
S 0.3850 0.2184 0.0000  1 Nb 2.37
S 0.9105 0.2798 0.7979  1 Nb 2.37
S 0.4105 0.7202 0.2979  1 Nb 2.37
S 0.4492 0.1990 0.5000  1 Nb 2.37
S 0.9492 0.8010 0.0000  1 Nb 2.37
S 0.8850 0.7816 0.5000  1 Nb 2.37



10.
The following is a GGA-PBE calculation of crystalline BaNaNbS4 at its relaxed geometry, from the Alexandria database.

Output
Theoretical density ... 3.175 Mg/m³
Energy relative to the elements, uncorrected ... -1.35 eV/atom
Crystal system ... monoclinic

a = 6.9991 Å, b = 6.9700 Å, c = 8.6227 Å
α = 90.00°, β = 108.47°, γ = 90.00°
Last column: nearest neighbours and their distance in Å.
Fractional positions:
Ba 0.7335 0.7500 0.9371  6 S 3.16-3.32
Ba 0.2665 0.2500 0.0629  6 S 3.16-3.32
S 0.5841 0.2500 0.4177  1 Nb 2.26
S 0.0154 0.0049 0.2511  1 Nb 2.29
S 0.9846 0.9951 0.7489  1 Nb 2.29
S 0.4289 0.7500 0.1426  1 Nb 2.31
S 0.4159 0.7500 0.5823  1 Nb 2.26
S 0.0154 0.4951 0.2511  1 Nb 2.29
S 0.5711 0.2500 0.8574  1 Nb 2.31
S 0.9846 0.5049 0.7489  1 Nb 2.29
Nb 0.7664 0.2500 0.6859  4 S 2.26-2.31
Nb 0.2336 0.7500 0.3141  4 S 2.26-2.31
Na 0.7769 0.7500 0.4563  6 S 3.01-3.31
Na 0.2231 0.2500 0.5437  6 S 3.01-3.31



11.
The following is a GGA-PBE calculation of crystalline BaNa2NbTe at its relaxed geometry, from the Alexandria database.

Output
Theoretical density ... 3.637 Mg/m³
Energy relative to the elements, uncorrected ... 0.25 eV/atom
Crystal system ... tetragonal

a = 5.8493 Å, b = 5.3886 Å, c = 5.8493 Å
α = 90.00°, β = 90.00°, γ = 90.00°
Last column: nearest neighbours and their distance in Å.
Fractional positions:
Na 0.5000 0.0000 0.0000  2 Nb 2.92
Na 0.0000 0.0000 0.5000  2 Nb 2.92
Ba 0.5000 0.5000 0.5000  8 Na 3.98, 4 Te 4.14
Nb 0.0000 0.0000 0.0000  2 Te 2.69, 4 Na 2.92
Te 0.0000 0.5000 0.0000  2 Nb 2.69



12.
The following is a GGA-PBE calculation of crystalline BaNaNb2V at its relaxed geometry, from the Alexandria database.

Output
Theoretical density ... 4.644 Mg/m³
ΔE_f ... 5.5 eV per formula unit
Crystal system ... tetragonal

a = 4.7588 Å, b = 4.7588 Å, c = 6.2699 Å
α = 90.00°, β = 90.00°, γ = 90.00°
Last column: nearest neighbours and their distance in Å.
Fractional positions:
Nb 0.0000 0.5000 0.0000  2 V 2.38
Nb 0.5000 0.0000 0.0000  2 V 2.38
Na 0.5000 0.5000 0.5000  4 Ba 3.36
V 0.0000 0.0000 0.0000  4 Nb 2.38
Ba 0.0000 0.0000 0.5000  2 V 3.13, 4 Na 3.36